1.
Density functional theory data (PBE-GGA) for a relaxed structure of Sr3Zr2P4.

Output
The electronic total energy is -5.889 eV per atom. As for the crystal system: monoclinic.

```
Sr3Zr2P4
1.0
6.836 -5.311 0.000
6.836 5.311 0.000
-0.104 0.000 6.814
P Sr Zr
8 6 4
direct
0.282 0.943 0.037
0.745 0.569 0.064
0.431 0.255 0.436
0.057 0.718 0.463
0.943 0.282 0.537
0.569 0.745 0.564
0.255 0.431 0.936
0.718 0.057 0.963
0.988 0.243 0.035
0.397 0.603 0.250
0.757 0.012 0.465
0.243 0.988 0.535
0.603 0.397 0.750
0.012 0.757 0.965
0.422 0.173 0.080
0.827 0.578 0.420
0.173 0.422 0.580
0.578 0.827 0.920
```

2.
Density functional theory data (PBE-GGA) for a relaxed structure of TaP4.

Output
The electronic total energy is -7.007 eV per atom. As for the crystal system: monoclinic.

```
TaP4
1.0
1.383 4.912 -3.763
-5.478 -1.511 2.811
3.081 1.683 4.859
P Ta
8 2
direct
0.375 0.186 0.183
0.052 0.503 0.188
0.497 0.948 0.312
0.814 0.625 0.317
0.186 0.375 0.683
0.503 0.052 0.688
0.948 0.497 0.812
0.625 0.814 0.817
0.938 0.062 0.250
0.062 0.938 0.750
```

3.
Density functional theory data (PBE-GGA) for a relaxed structure of Ta3P5.

Output
The electronic total energy is -8.131 eV per atom. As for the crystal system: orthorhombic.

```
Ta3P5
1.0
2.456 -5.659 0.000
2.456 5.659 0.000
0.000 0.000 10.707
P Ta
10 6
direct
0.370 0.630 0.053
0.036 0.964 0.149
0.730 0.270 0.250
0.036 0.964 0.351
0.370 0.630 0.447
0.630 0.370 0.553
0.964 0.036 0.649
0.270 0.730 0.750
0.964 0.036 0.851
0.630 0.370 0.947
0.834 0.166 0.046
0.242 0.758 0.250
0.834 0.166 0.454
0.166 0.834 0.546
0.758 0.242 0.750
0.166 0.834 0.954
```

4.
Density functional theory data (PBE-GGA) for a relaxed structure of Ta3P.

Output
The electronic total energy is -10.843 eV per atom. As for the crystal system: tetragonal.

```
Ta3P
1.0
-0.612 -7.284 -7.132
-3.963 -6.413 6.890
-4.635 1.569 -1.205
P Ta
8 24
direct
0.543 0.250 0.000
0.957 0.250 0.000
0.043 0.750 0.000
0.457 0.750 0.000
0.750 0.043 0.500
0.750 0.457 0.500
0.250 0.543 0.500
0.250 0.957 0.500
0.750 0.104 0.000
0.750 0.396 0.000
0.250 0.604 0.000
0.250 0.896 0.000
0.451 0.049 0.250
0.157 0.157 0.250
0.343 0.343 0.250
0.049 0.451 0.250
0.549 0.549 0.250
0.843 0.657 0.250
0.657 0.843 0.250
0.951 0.951 0.250
0.604 0.250 0.500
0.896 0.250 0.500
0.104 0.750 0.500
0.396 0.750 0.500
0.049 0.049 0.750
0.343 0.157 0.750
0.157 0.343 0.750
0.451 0.451 0.750
0.951 0.549 0.750
0.657 0.657 0.750
0.843 0.843 0.750
0.549 0.951 0.750
```